No. 1
Entry from Alexandria: a relaxed structure of TaAgP6 (PBE).

a = 5.0754 Å, b = 5.0754 Å, c = 11.7468 Å
α = 90.00°, β = 90.00°, γ = 90.00°
Closest atoms and distances in Å follow each position.
Fractional coordinates of all 16 atoms:
Ta 0.0000 0.0000 0.0000  6 P 2.54-2.59
Ta 0.0000 0.0000 0.5000  6 P 2.54-2.59
Ag 0.5000 0.5000 0.2500  4 P 2.43
Ag 0.5000 0.5000 0.7500  4 P 2.43
P 0.1750 0.1750 0.1929  2 P 2.23, 1 Ag 2.43
P 0.1750 0.1750 0.8071  2 P 2.23, 1 Ag 2.43
P 0.1750 0.8250 0.3071  2 P 2.23, 1 Ag 2.43
P 0.1750 0.8250 0.6929  2 P 2.23, 1 Ag 2.43
P 0.3541 0.3541 0.5000  1 P 2.10
P 0.3541 0.6459 0.0000  1 P 2.10
P 0.6459 0.3541 0.0000  1 P 2.10
P 0.6459 0.6459 0.5000  1 P 2.10
P 0.8250 0.1750 0.3071  2 P 2.23, 1 Ag 2.43
P 0.8250 0.1750 0.6929  2 P 2.23, 1 Ag 2.43
P 0.8250 0.8250 0.1929  2 P 2.23, 1 Ag 2.43
P 0.8250 0.8250 0.8071  2 P 2.23, 1 Ag 2.43

Summary:
Space-group type   P4_2/mcm (132)


No. 2
Entry from Alexandria: a relaxed structure of Pm6BiRu2 (PBE).

a = 5.8439 Å, b = 5.8439 Å, c = 9.6776 Å
α = 100.04°, β = 100.04°, γ = 51.60°
Closest atoms and distances in Å follow each position.
Fractional coordinates of all 9 atoms:
Pm 0.0320 0.0320 0.3441  2 Ru 3.08, 4 Pm 3.17-3.38, 1 Bi 3.28
Pm 0.2877 0.2877 0.6496  1 Ru 2.78
Pm 0.3376 0.3376 0.1219  1 Ru 2.67
Pm 0.6624 0.6624 0.8781  1 Ru 2.67
Pm 0.7123 0.7123 0.3504  1 Ru 2.78
Pm 0.9680 0.9680 0.6559  2 Ru 3.08, 4 Pm 3.17-3.38, 1 Bi 3.28
Bi 0.0000 0.0000 0.0000  8 Pm 3.28-3.52
Ru 0.3863 0.3863 0.4030  2 Pm 2.67-2.78, 1 Ru 2.74
Ru 0.6137 0.6137 0.5970  2 Pm 2.67-2.78, 1 Ru 2.74

Summary:
Offset from the most stable computed form   66.9 meV/atom
Space-group type   C2/m (12)


Number 1: DFT total energy -88.907 eV/cell. Number 2: DFT total energy -53.522 eV/cell.